(1)
Crystalline LaCr2Cu at its relaxed geometry. Source: Alexandria via LeMat-Bulk, functional GGA-PBE.

Computed properties:
* DFT formation energy: 60.77 kJ per mole of atoms
* distance to the lowest polymorph of the same formula: 0.335 eV/atom
* symmetry: No. 123
* crystal system: tetragonal

```
4
Lattice="4.250 0.000 0.000 0.000 4.250 0.000 0.000 0.000 4.364" Properties=species:S:1:pos:R:3 pbc="T T T"
La 0.000 2.125 2.182
Cu 2.125 0.000 2.182
Cr 2.125 2.125 0.000
Cr 0.000 0.000 0.000
```

***

(2)
Crystalline VRhW at its relaxed geometry. Source: Alexandria via LeMat-Bulk, functional GGA-PBE.

Computed properties:
* DFT formation energy: 0.70 kJ per mole of atoms
* distance to the lowest polymorph of the same formula: 0.000 eV/atom
* symmetry: No. 107
* crystal system: tetragonal

```
3
Lattice="-0.790 0.130 -3.002 -1.151 -2.880 0.178 -3.120 3.081 2.561" Properties=species:S:1:pos:R:3 pbc="T T T"
W -2.408 -0.776 -1.008
V -2.701 1.126 0.759
Rh -5.012 0.310 -0.276
```

***

(3)
Crystalline Pt2C at its relaxed geometry. Source: Alexandria via LeMat-Bulk, functional GGA-PBE.

Computed properties:
* DFT formation energy: 114.36 kJ per mole of atoms
* distance to the lowest polymorph of the same formula: 0.628 eV/atom
* symmetry: No. 194
* crystal system: hexagonal

```
12
Lattice="5.899 0.000 0.000 -2.950 5.109 0.000 0.000 0.000 8.812" Properties=species:S:1:pos:R:3 pbc="T T T"
Pt 2.950 3.592 2.203
C 0.000 3.406 5.858
Pt 0.000 0.000 4.406
Pt 1.636 4.351 6.609
C 2.950 1.703 1.452
C 0.000 3.406 7.360
Pt 4.586 0.758 2.203
Pt -1.636 4.351 6.609
C 2.950 1.703 2.954
Pt 1.313 0.758 2.203
Pt 0.000 0.000 0.000
Pt 0.000 1.517 6.609
```

***

(4)
Crystalline Si3Pt at its relaxed geometry. Source: Alexandria via LeMat-Bulk, functional GGA-PBE.

Computed properties:
* formation energy (no corrections): 0.138 eV per atom
* symmetry: No. 65
* crystal system: orthorhombic

```
4
Lattice="-4.052 1.279 1.233 -0.522 -3.948 -1.929 0.400 -1.410 2.777" Properties=species:S:1:pos:R:3 pbc="T T T"
Si -0.061 -2.679 0.424
Pt 0.000 0.000 0.000
Si -1.826 -0.066 2.005
Si -2.287 -1.334 -0.348
```

***

Q: Which formula does entry 4 have?
A: Si3Pt